[1]
Crystalline SrZn3Au3 at its relaxed geometry, computed with PBE.

As for the space-group type: Pm-3n, No. 223. Its relative energy among the computed polymorphs is 0.1357 eV/atom. For the density of states at the Fermi level, the calculation gives 6.707 states/eV/cell. For the formation energy from the elements, the calculation gives -1.33 eV/f.u.

a = 7.119 Å, b = 7.119 Å, c = 7.119 Å
α = 90.00°, β = 90.00°, γ = 90.00°
Fractional positions:
Sr  0.000  0.000  0.000
Sr  0.500  0.500  0.500
Zn  0.000  0.250  0.500
Zn  0.000  0.750  0.500
Zn  0.250  0.500  0.000
Zn  0.500  0.000  0.250
Zn  0.500  0.000  0.750
Zn  0.750  0.500  0.000
Au  0.000  0.500  0.250
Au  0.000  0.500  0.750
Au  0.250  0.000  0.500
Au  0.500  0.250  0.000
Au  0.500  0.750  0.000
Au  0.750  0.000  0.500

---

[2]
Crystalline SrZn2Au3 at its relaxed geometry, computed with PBE.

As for the space-group type: Cmcm, No. 63. For the density of states at the Fermi level, the calculation gives 3.835 states/eV/cell. For the formation energy from the elements, the calculation gives -3.01 eV/f.u.

a = 6.980 Å, b = 6.980 Å, c = 5.433 Å
α = 90.00°, β = 90.00°, γ = 78.95°
Fractional positions:
Sr  0.192  0.808  0.750
Sr  0.808  0.192  0.250
Zn  0.288  0.288  0.000
Zn  0.288  0.288  0.500
Zn  0.712  0.712  0.000
Zn  0.712  0.712  0.500
Au  0.030  0.593  0.250
Au  0.407  0.970  0.250
Au  0.436  0.564  0.250
Au  0.564  0.436  0.750
Au  0.593  0.030  0.750
Au  0.970  0.407  0.750

---

[3]
Crystalline SrZn11Au at its relaxed geometry, computed with PBE.

As for the space-group type: C2/m, No. 12. For the density of states at the Fermi level, the calculation gives 4.654 states/eV/cell. For the formation energy from the elements, the calculation gives -2.02 eV/f.u.

a = 7.010 Å, b = 7.010 Å, c = 6.914 Å
α = 98.20°, β = 98.20°, γ = 135.35°
Fractional positions:
Sr  0.000  0.000  0.000
Zn  0.000  0.500  0.000
Zn  0.005  0.364  0.356
Zn  0.278  0.509  0.776
Zn  0.364  0.005  0.356
Zn  0.491  0.722  0.224
Zn  0.500  0.000  0.000
Zn  0.500  0.500  0.500
Zn  0.509  0.278  0.776
Zn  0.636  0.995  0.644
Zn  0.722  0.491  0.224
Zn  0.995  0.636  0.644
Au  0.000  0.000  0.500

---

[4]
Crystalline SrZn6Au4 at its relaxed geometry, computed with PBE.

As for the space-group type: P-6m2, No. 187. For the density of states at the Fermi level, the calculation gives 5.747 states/eV/cell. For the formation energy from the elements, the calculation gives -3.76 eV/f.u.

a = 7.515 Å, b = 7.515 Å, c = 4.268 Å
α = 90.00°, β = 90.00°, γ = 120.00°
Fractional positions:
Sr  0.000  0.000  0.000
Zn  0.206  0.413  0.500
Zn  0.206  0.794  0.500
Zn  0.538  0.076  0.000
Zn  0.538  0.462  0.000
Zn  0.587  0.794  0.500
Zn  0.924  0.462  0.000
Au  0.333  0.667  0.000
Au  0.396  0.198  0.500
Au  0.802  0.198  0.500
Au  0.802  0.604  0.500

---

[5]
Crystalline SrZnAu2 at its relaxed geometry, computed with PBE.

As for the space-group type: P4/mmm, No. 123. For the density of states at the Fermi level, the calculation gives 1.132 states/eV/cell. For the formation energy from the elements, the calculation gives -1.42 eV/f.u.

a = 4.782 Å, b = 4.782 Å, c = 4.041 Å
α = 90.00°, β = 90.00°, γ = 90.00°
Fractional positions:
Sr  0.000  0.000  0.000
Zn  0.500  0.500  0.000
Au  0.000  0.500  0.500
Au  0.500  0.000  0.500

---

[6]
Crystalline SrZn2Au8 at its relaxed geometry, computed with PBE.

As for the space-group type: P4/mmm, No. 123. For the density of states at the Fermi level, the calculation gives 1.595 states/eV/cell. For the formation energy from the elements, the calculation gives -1.80 eV/f.u.

a = 5.515 Å, b = 5.515 Å, c = 8.912 Å
α = 90.00°, β = 90.00°, γ = 90.00°
Fractional positions:
Sr  0.000  0.000  0.000
Zn  0.000  0.500  0.500
Zn  0.500  0.000  0.500
Au  0.252  0.252  0.291
Au  0.252  0.252  0.709
Au  0.252  0.748  0.291
Au  0.252  0.748  0.709
Au  0.748  0.252  0.291
Au  0.748  0.252  0.709
Au  0.748  0.748  0.291
Au  0.748  0.748  0.709

---

[7]
Crystalline Sr2Zn4Au5 at its relaxed geometry, computed with PBE.

As for the space-group type: C2/m, No. 12. For the density of states at the Fermi level, the calculation gives 4.103 states/eV/cell. For the formation energy from the elements, the calculation gives -4.08 eV/f.u.

a = 6.854 Å, b = 6.854 Å, c = 8.945 Å
α = 127.19°, β = 127.19°, γ = 50.87°
Fractional positions:
Sr  0.217  0.217  0.277
Sr  0.783  0.783  0.723
Zn  0.143  0.143  0.590
Zn  0.267  0.267  0.953
Zn  0.733  0.733  0.047
Zn  0.857  0.857  0.410
Au  0.233  0.719  0.271
Au  0.281  0.767  0.729
Au  0.500  0.500  0.000
Au  0.719  0.233  0.271
Au  0.767  0.281  0.729

---

[8]
Crystalline SrZnAu6 at its relaxed geometry, computed with PBE.

As for the space-group type: P4/mmm, No. 123. Its relative energy among the computed polymorphs is 0.0000 eV/atom. For the density of states at the Fermi level, the calculation gives 2.756 states/eV/cell. For the formation energy from the elements, the calculation gives -2.49 eV/f.u.

a = 4.211 Å, b = 4.211 Å, c = 9.757 Å
α = 90.00°, β = 90.00°, γ = 90.00°
Fractional positions:
Sr  0.000  0.000  0.000
Zn  0.000  0.000  0.500
Au  0.000  0.500  0.335
Au  0.000  0.500  0.665
Au  0.500  0.000  0.335
Au  0.500  0.000  0.665
Au  0.500  0.500  0.137
Au  0.500  0.500  0.863

---

[9]
Crystalline Sr2ZnAu7 at its relaxed geometry, computed with PBE.

As for the space-group type: P-4m2, No. 115. For the density of states at the Fermi level, the calculation gives 4.174 states/eV/cell. For the formation energy from the elements, the calculation gives -4.63 eV/f.u.

a = 4.282 Å, b = 4.282 Å, c = 12.593 Å
α = 90.00°, β = 90.00°, γ = 90.00°
Fractional positions:
Sr  0.000  0.500  0.245
Sr  0.500  0.000  0.755
Zn  0.000  0.000  0.500
Au  0.000  0.000  0.000
Au  0.000  0.500  0.638
Au  0.000  0.500  0.852
Au  0.500  0.000  0.148
Au  0.500  0.000  0.362
Au  0.500  0.500  0.000
Au  0.500  0.500  0.500

---

[10]
Crystalline Sr4Zn3Au at its relaxed geometry, computed with PBE.

As for the space-group type: Pmm2, No. 25. For the density of states at the Fermi level, the calculation gives 6.465 states/eV/cell. For the formation energy from the elements, the calculation gives -2.83 eV/f.u.

a = 4.537 Å, b = 4.607 Å, c = 12.011 Å
α = 90.00°, β = 90.00°, γ = 90.00°
Fractional positions:
Sr  0.000  0.000  0.000
Sr  0.000  0.500  0.280
Sr  0.500  0.000  0.491
Sr  0.500  0.500  0.783
Zn  0.000  0.000  0.697
Zn  0.000  0.500  0.579
Zn  0.500  0.500  0.077
Au  0.500  0.000  0.203

---

[11]
Crystalline SrZnAu at its relaxed geometry, computed with PBE.

As for the space-group type: Pmmm, No. 47. For the density of states at the Fermi level, the calculation gives 2.655 states/eV/cell. For the formation energy from the elements, the calculation gives -1.69 eV/f.u.

a = 4.208 Å, b = 4.621 Å, c = 7.963 Å
α = 90.00°, β = 90.00°, γ = 90.00°
Fractional positions:
Sr  0.000  0.000  0.000
Sr  0.000  0.500  0.500
Zn  0.500  0.000  0.337
Zn  0.500  0.000  0.663
Au  0.500  0.500  0.178
Au  0.500  0.500  0.822

---

[12]
Crystalline Sr4ZrAu at its relaxed geometry, computed with PBE.

As for the space-group type: F-43m, No. 216. For the density of states at the Fermi level, the calculation gives 9.677 states/eV/cell. For the formation energy from the elements, the calculation gives 4.58 eV/f.u.

a = 6.942 Å, b = 6.942 Å, c = 6.942 Å
α = 60.00°, β = 60.00°, γ = 60.00°
Fractional positions:
Sr  0.125  0.125  0.125
Sr  0.125  0.125  0.626
Sr  0.125  0.626  0.125
Sr  0.626  0.125  0.125
Zr  0.750  0.750  0.750
Au  0.500  0.500  0.500